DFT (PBE) results for crystalline Rb5HCl4 at its relaxed geometry.

Results
E = -3.1395 eV per atom
V = 35.98 Å³ per atom
symmetry = Immm

Lattice parameters (Å, degrees): 4.648 6.632 12.355 105.57 100.84 90.00
Atoms (fractional coordinates):
Rb (0.592, 0.092, 0.184)
Rb (0.799, 0.299, 0.597)
Rb (0.201, 0.701, 0.403)
Rb (0.000, 0.500, 0.000)
Rb (0.408, 0.908, 0.816)
H (0.000, 0.000, 0.000)
Cl (0.401, 0.401, 0.802)
Cl (0.804, 0.804, 0.608)
Cl (0.196, 0.196, 0.392)
Cl (0.599, 0.599, 0.198)